# Ga2HgSb PBE relaxed
data_Ga2HgSb
_chemical_formula_sum 'Ga8 Hg4 Sb4'
_cell_length_a 7.2482
_cell_length_b 7.2482
_cell_length_c 7.2482
_cell_angle_alpha 90.00
_cell_angle_beta 90.00
_cell_angle_gamma 90.00
_symmetry_space_group_name_H-M 'F -4 3 m'
_symmetry_Int_Tables_number 216
_symmetry_space_group_name_Hall 'F -4 2 3'
loop_
_atom_site_label
_atom_site_type_symbol
_atom_site_fract_x
_atom_site_fract_y
_atom_site_fract_z
_atom_site_occupancy
Ga1 Ga 0.0000 0.0000 0.0000 1
Ga2 Ga 0.2500 0.2500 0.2500 1
Hg1 Hg 0.2500 0.2500 0.7500 1
Sb1 Sb 0.0000 0.0000 0.5000 1
# Crystal system = cubic
# Uncorrected energy = -0.09191 Ha/atom

# LaHoCd2Au4 PBE relaxed
data_LaHoCd2Au4
_chemical_formula_sum 'La1 Ho1 Cd2 Au4'
_cell_length_a 5.0209
_cell_length_b 5.0209
_cell_length_c 7.0681
_cell_angle_alpha 90.00
_cell_angle_beta 90.00
_cell_angle_gamma 90.00
_symmetry_space_group_name_H-M 'P 4/m m m'
_symmetry_Int_Tables_number 123
_symmetry_space_group_name_Hall '-P 4 2'
loop_
_atom_site_label
_atom_site_type_symbol
_atom_site_fract_x
_atom_site_fract_y
_atom_site_fract_z
_atom_site_occupancy
La1 La 0.0000 0.0000 0.0000 1
Ho1 Ho 0.5000 0.5000 0.5000 1
Cd1 Cd 0.0000 0.0000 0.5000 1
Cd2 Cd 0.5000 0.5000 0.0000 1
Au1 Au 0.0000 0.5000 0.2667 1
# Calculated formation energy = -64.7 kJ per mole of atoms
# Crystal system = tetragonal
# Uncorrected energy = -0.13652 Ha/atom

# HgGe PBE relaxed
data_HgGe
_chemical_formula_sum 'Hg4 Ge4'
_cell_length_a 6.1596
_cell_length_b 6.1596
_cell_length_c 6.1596
_cell_angle_alpha 90.00
_cell_angle_beta 90.00
_cell_angle_gamma 90.00
_symmetry_space_group_name_H-M 'F -4 3 m'
_symmetry_Int_Tables_number 216
_symmetry_space_group_name_Hall 'F -4 2 3'
loop_
_atom_site_label
_atom_site_type_symbol
_atom_site_fract_x
_atom_site_fract_y
_atom_site_fract_z
_atom_site_occupancy
Hg1 Hg 0.0000 0.0000 0.0000 1
Ge1 Ge 0.2500 0.2500 0.2500 1
# E above lowest polymorph = 229 meV per atom
# Crystal system = cubic
# Uncorrected energy = -0.07201 Ha/atom

# BeNbCuB PBE relaxed
data_BeNbCuB
_chemical_formula_sum 'Be4 Nb4 Cu4 B4'
_cell_length_a 5.5888
_cell_length_b 5.5888
_cell_length_c 5.5888
_cell_angle_alpha 90.00
_cell_angle_beta 90.00
_cell_angle_gamma 90.00
_symmetry_space_group_name_H-M 'F -4 3 m'
_symmetry_Int_Tables_number 216
_symmetry_space_group_name_Hall 'F -4 2 3'
loop_
_atom_site_label
_atom_site_type_symbol
_atom_site_fract_x
_atom_site_fract_y
_atom_site_fract_z
_atom_site_occupancy
Be1 Be 0.0000 0.0000 0.0000 1
Nb1 Nb 0.2500 0.2500 0.2500 1
Cu1 Cu 0.2500 0.2500 0.7500 1
B1 B 0.0000 0.0000 0.5000 1
# E above lowest polymorph = 0 meV per atom
# Crystal system = cubic
# Uncorrected energy = -0.21275 Ha/atom

# LuTlAgAu PBE relaxed
data_LuTlAgAu
_chemical_formula_sum 'Lu4 Tl4 Ag4 Au4'
_cell_length_a 6.9869
_cell_length_b 6.9869
_cell_length_c 6.9869
_cell_angle_alpha 90.00
_cell_angle_beta 90.00
_cell_angle_gamma 90.00
_symmetry_space_group_name_H-M 'F -4 3 m'
_symmetry_Int_Tables_number 216
_symmetry_space_group_name_Hall 'F -4 2 3'
loop_
_atom_site_label
_atom_site_type_symbol
_atom_site_fract_x
_atom_site_fract_y
_atom_site_fract_z
_atom_site_occupancy
Lu1 Lu 0.0000 0.0000 0.0000 1
Tl1 Tl 0.0000 0.0000 0.5000 1
Ag1 Ag 0.2500 0.2500 0.7500 1
Au1 Au 0.2500 0.2500 0.2500 1
# E above lowest polymorph = 0 meV per atom
# Crystal system = cubic
# Uncorrected energy = -0.13262 Ha/atom

# CsYErTe3 PBE relaxed
data_CsYErTe3
_chemical_formula_sum 'Cs4 Y4 Er4 Te12'
_cell_length_a 4.7057
_cell_length_b 17.5548
_cell_length_c 11.8082
_cell_angle_alpha 90.00
_cell_angle_beta 90.00
_cell_angle_gamma 90.00
_symmetry_space_group_name_H-M 'C m c m'
_symmetry_Int_Tables_number 63
_symmetry_space_group_name_Hall '-C 2c 2'
loop_
_atom_site_label
_atom_site_type_symbol
_atom_site_fract_x
_atom_site_fract_y
_atom_site_fract_z
_atom_site_occupancy
Cs1 Cs 0.0000 0.2443 0.2500 1
Y1 Y 0.0000 0.0344 0.7500 1
Er1 Er 0.0000 0.5000 0.0000 1
Te1 Te 0.0000 0.1189 0.5373 1
Te2 Te 0.0000 0.4342 0.7500 1
# E above lowest polymorph = 19 meV per atom
# Crystal system = orthorhombic
# Uncorrected energy = -0.17557 Ha/atom

# BaNiSbAu PBE relaxed
data_BaNiSbAu
_chemical_formula_sum 'Ba4 Ni4 Sb4 Au4'
_cell_length_a 7.3338
_cell_length_b 7.3338
_cell_length_c 7.3338
_cell_angle_alpha 90.00
_cell_angle_beta 90.00
_cell_angle_gamma 90.00
_symmetry_space_group_name_H-M 'F -4 3 m'
_symmetry_Int_Tables_number 216
_symmetry_space_group_name_Hall 'F -4 2 3'
loop_
_atom_site_label
_atom_site_type_symbol
_atom_site_fract_x
_atom_site_fract_y
_atom_site_fract_z
_atom_site_occupancy
Ba1 Ba 0.0000 0.0000 0.0000 1
Ni1 Ni 0.2500 0.2500 0.7500 1
Sb1 Sb 0.2500 0.2500 0.2500 1
Au1 Au 0.0000 0.0000 0.5000 1
# E above lowest polymorph = 222 meV per atom
# Crystal system = cubic
# Uncorrected energy = -0.13177 Ha/atom

# Cu3SnS4 PBE relaxed
data_Cu3SnS4
_chemical_formula_sum 'Cu6 Sn2 S8'
_cell_length_a 12.0980
_cell_length_b 5.3926
_cell_length_c 5.3917
_cell_angle_alpha 90.00
_cell_angle_beta 116.36
_cell_angle_gamma 90.00
_symmetry_space_group_name_H-M 'C 1 2 1'
_symmetry_Int_Tables_number 5
_symmetry_space_group_name_Hall 'C 2y'
loop_
_atom_site_label
_atom_site_type_symbol
_atom_site_fract_x
_atom_site_fract_y
_atom_site_fract_z
_atom_site_occupancy
Cu1 Cu 0.0000 0.9999 0.0000 1
Cu2 Cu 0.2500 0.0000 0.7476 1
Sn1 Sn 0.0000 0.4967 0.5000 1
S1 S 0.1310 0.7633 0.3681 1
S2 S 0.1326 0.2358 0.8970 1
# Crystal system = monoclinic
# Uncorrected energy = -0.15796 Ha/atom

# BaLiAsPt PBE relaxed
data_BaLiAsPt
_chemical_formula_sum 'Ba4 Li4 As4 Pt4'
_cell_length_a 7.3103
_cell_length_b 7.3103
_cell_length_c 7.3103
_cell_angle_alpha 90.00
_cell_angle_beta 90.00
_cell_angle_gamma 90.00
_symmetry_space_group_name_H-M 'F -4 3 m'
_symmetry_Int_Tables_number 216
_symmetry_space_group_name_Hall 'F -4 2 3'
loop_
_atom_site_label
_atom_site_type_symbol
_atom_site_fract_x
_atom_site_fract_y
_atom_site_fract_z
_atom_site_occupancy
Ba1 Ba 0.0000 0.0000 0.0000 1
Li1 Li 0.0000 0.0000 0.5000 1
As1 As 0.2500 0.2500 0.2500 1
Pt1 Pt 0.2500 0.2500 0.7500 1
# E above lowest polymorph = 156 meV per atom
# Crystal system = cubic
# Uncorrected energy = -0.14315 Ha/atom

# Er5Lu3Te PBE relaxed
data_Er5Lu3Te
_chemical_formula_sum 'Er5 Lu3 Te1'
_cell_length_a 9.0613
_cell_length_b 9.0613
_cell_length_c 3.7224
_cell_angle_alpha 90.00
_cell_angle_beta 90.00
_cell_angle_gamma 120.00
_symmetry_space_group_name_H-M 'P -6 2 m'
_symmetry_Int_Tables_number 189
_symmetry_space_group_name_Hall 'P -6 -2'
loop_
_atom_site_label
_atom_site_type_symbol
_atom_site_fract_x
_atom_site_fract_y
_atom_site_fract_z
_atom_site_occupancy
Er1 Er 0.0000 0.6154 0.0000 1
Er2 Er 0.3333 0.6667 0.5000 1
Lu1 Lu 0.0000 0.2755 0.5000 1
Te1 Te 0.0000 0.0000 0.0000 1
# E above lowest polymorph = 5 meV per atom
# Crystal system = hexagonal
# Uncorrected energy = -0.17149 Ha/atom

# MgUTc PBE relaxed
data_MgUTc
_chemical_formula_sum 'Mg4 U4 Tc4'
_cell_length_a 6.4809
_cell_length_b 6.4809
_cell_length_c 6.4809
_cell_angle_alpha 90.00
_cell_angle_beta 90.00
_cell_angle_gamma 90.00
_symmetry_space_group_name_H-M 'F -4 3 m'
_symmetry_Int_Tables_number 216
_symmetry_space_group_name_Hall 'F -4 2 3'
loop_
_atom_site_label
_atom_site_type_symbol
_atom_site_fract_x
_atom_site_fract_y
_atom_site_fract_z
_atom_site_occupancy
Mg1 Mg 0.0000 0.0000 0.0000 1
U1 U 0.2500 0.2500 0.2500 1
Tc1 Tc 0.0000 0.0000 0.5000 1
# E above lowest polymorph = 107 meV per atom
# Crystal system = cubic
# Uncorrected energy = -0.23790 Ha/atom

# Al2Co21B6 PBE relaxed
data_Al2Co21B6
_chemical_formula_sum 'Al8 Co84 B24'
_cell_length_a 10.4485
_cell_length_b 10.4485
_cell_length_c 10.4485
_cell_angle_alpha 90.00
_cell_angle_beta 90.00
_cell_angle_gamma 90.00
_symmetry_space_group_name_H-M 'F m -3 m'
_symmetry_Int_Tables_number 225
_symmetry_space_group_name_Hall '-F 4 2 3'
loop_
_atom_site_label
_atom_site_type_symbol
_atom_site_fract_x
_atom_site_fract_y
_atom_site_fract_z
_atom_site_occupancy
Al1 Al 0.2500 0.2500 0.2500 1
Co1 Co 0.0000 0.0000 0.0000 1
Co2 Co 0.0000 0.1687 0.1687 1
Co3 Co 0.1177 0.1177 0.3823 1
B1 B 0.0000 0.0000 0.2770 1
# Crystal system = cubic
# Uncorrected energy = -0.25827 Ha/atom

# TbYNi4Sn2 PBE relaxed
data_TbYNi4Sn2
_chemical_formula_sum 'Tb1 Y1 Ni4 Sn2'
_cell_length_a 4.3607
_cell_length_b 4.3607
_cell_length_c 8.6726
_cell_angle_alpha 90.00
_cell_angle_beta 90.00
_cell_angle_gamma 120.00
_symmetry_space_group_name_H-M 'P -6 m 2'
_symmetry_Int_Tables_number 187
_symmetry_space_group_name_Hall 'P -6 2'
loop_
_atom_site_label
_atom_site_type_symbol
_atom_site_fract_x
_atom_site_fract_y
_atom_site_fract_z
_atom_site_occupancy
Tb1 Tb 0.0000 0.0000 0.0000 1
Y1 Y 0.6667 0.3333 0.5000 1
Ni1 Ni 0.0000 0.0000 0.3317 1
Ni2 Ni 0.6667 0.3333 0.1673 1
Sn1 Sn 0.3333 0.6667 0.2509 1
# Crystal system = hexagonal
# Uncorrected energy = -0.20967 Ha/atom

# RbTmBi PBE relaxed
data_RbTmBi
_chemical_formula_sum 'Rb4 Tm4 Bi4'
_cell_length_a 7.7009
_cell_length_b 7.7009
_cell_length_c 7.7009
_cell_angle_alpha 90.00
_cell_angle_beta 90.00
_cell_angle_gamma 90.00
_symmetry_space_group_name_H-M 'F -4 3 m'
_symmetry_Int_Tables_number 216
_symmetry_space_group_name_Hall 'F -4 2 3'
loop_
_atom_site_label
_atom_site_type_symbol
_atom_site_fract_x
_atom_site_fract_y
_atom_site_fract_z
_atom_site_occupancy
Rb1 Rb 0.0000 0.0000 0.0000 1
Tm1 Tm 0.2500 0.2500 0.7500 1
Bi1 Bi 0.0000 0.0000 0.5000 1
# Crystal system = cubic
# Uncorrected energy = -0.10908 Ha/atom

# Ho7InCo4Ge12 PBE relaxed
data_Ho7InCo4Ge12
_chemical_formula_sum 'Ho7 In1 Co4 Ge12'
_cell_length_a 10.3544
_cell_length_b 10.3544
_cell_length_c 4.1785
_cell_angle_alpha 90.00
_cell_angle_beta 90.00
_cell_angle_gamma 90.00
_symmetry_space_group_name_H-M 'P 4/m'
_symmetry_Int_Tables_number 83
_symmetry_space_group_name_Hall '-P 4'
loop_
_atom_site_label
_atom_site_type_symbol
_atom_site_fract_x
_atom_site_fract_y
_atom_site_fract_z
_atom_site_occupancy
Ho1 Ho 0.0000 0.0000 0.0000 1
Ho2 Ho 0.0000 0.5000 0.5000 1
Ho3 Ho 0.3221 0.3257 0.5000 1
In1 In 0.5000 0.5000 0.0000 1
Co1 Co 0.1172 0.7218 0.0000 1
Ge1 Ge 0.0650 0.8053 0.5000 1
Ge2 Ge 0.1131 0.2854 0.0000 1
Ge3 Ge 0.2127 0.5141 0.0000 1
# Crystal system = tetragonal
# Uncorrected energy = -0.20662 Ha/atom

# YCoTcGe PBE relaxed
data_YCoTcGe
_chemical_formula_sum 'Y4 Co4 Tc4 Ge4'
_cell_length_a 6.5053
_cell_length_b 6.5053
_cell_length_c 6.5053
_cell_angle_alpha 90.00
_cell_angle_beta 90.00
_cell_angle_gamma 90.00
_symmetry_space_group_name_H-M 'F -4 3 m'
_symmetry_Int_Tables_number 216
_symmetry_space_group_name_Hall 'F -4 2 3'
loop_
_atom_site_label
_atom_site_type_symbol
_atom_site_fract_x
_atom_site_fract_y
_atom_site_fract_z
_atom_site_occupancy
Y1 Y 0.0000 0.0000 0.0000 1
Co1 Co 0.0000 0.0000 0.5000 1
Tc1 Tc 0.2500 0.2500 0.7500 1
Ge1 Ge 0.2500 0.2500 0.2500 1
# E above lowest polymorph = 282 meV per atom
# Crystal system = cubic
# Uncorrected energy = -0.25246 Ha/atom

# Sm2Sc2CI2Br3 PBE relaxed
data_Sm2Sc2CI2Br3
_chemical_formula_sum 'Sm4 Sc4 C2 I4 Br6'
_cell_length_a 20.1618
_cell_length_b 3.8266
_cell_length_c 8.3200
_cell_angle_alpha 90.00
_cell_angle_beta 101.50
_cell_angle_gamma 90.00
_symmetry_space_group_name_H-M 'C 1 2/m 1'
_symmetry_Int_Tables_number 12
_symmetry_space_group_name_Hall '-C 2y'
loop_
_atom_site_label
_atom_site_type_symbol
_atom_site_fract_x
_atom_site_fract_y
_atom_site_fract_z
_atom_site_occupancy
Sm1 Sm 0.0007 0.0000 0.2055 1
Sc1 Sc 0.1131 0.5000 0.0498 1
C1 C 0.0000 0.5000 0.0000 1
I1 I 0.1603 0.0000 0.3156 1
Br1 Br 0.0000 0.5000 0.5000 1
Br2 Br 0.1497 0.0000 0.8444 1
# E above lowest polymorph = 0 meV per atom
# Crystal system = monoclinic
# Uncorrected energy = -0.19213 Ha/atom

# Zr2Cu2SiGeBi2 PBE relaxed
data_Zr2Cu2SiGeBi2
_chemical_formula_sum 'Zr2 Cu2 Si1 Ge1 Bi2'
_cell_length_a 3.9417
_cell_length_b 3.9417
_cell_length_c 10.1444
_cell_angle_alpha 90.00
_cell_angle_beta 90.00
_cell_angle_gamma 90.00
_symmetry_space_group_name_H-M 'P -4 m 2'
_symmetry_Int_Tables_number 115
_symmetry_space_group_name_Hall 'P -4 -2'
loop_
_atom_site_label
_atom_site_type_symbol
_atom_site_fract_x
_atom_site_fract_y
_atom_site_fract_z
_atom_site_occupancy
Zr1 Zr 0.0000 0.5000 0.2066 1
Cu1 Cu 0.0000 0.0000 0.5000 1
Cu2 Cu 0.5000 0.5000 0.5000 1
Si1 Si 0.5000 0.5000 0.0000 1
Ge1 Ge 0.0000 0.0000 0.0000 1
Bi1 Bi 0.0000 0.5000 0.6901 1
# Crystal system = tetragonal
# Uncorrected energy = -0.20322 Ha/atom

# LiBi5W3 PBE relaxed
data_LiBi5W3
_chemical_formula_sum 'Li1 Bi5 W3'
_cell_length_a 5.6716
_cell_length_b 5.6716
_cell_length_c 8.8332
_cell_angle_alpha 90.00
_cell_angle_beta 90.00
_cell_angle_gamma 120.00
_symmetry_space_group_name_H-M 'P 6/m m m'
_symmetry_Int_Tables_number 191
_symmetry_space_group_name_Hall '-P 6 2'
loop_
_atom_site_label
_atom_site_type_symbol
_atom_site_fract_x
_atom_site_fract_y
_atom_site_fract_z
_atom_site_occupancy
Li1 Li 0.0000 0.0000 0.0000 1
Bi1 Bi 0.0000 0.0000 0.5000 1
Bi2 Bi 0.3333 0.6667 0.2141 1
W1 W 0.0000 0.5000 0.5000 1
# Crystal system = hexagonal
# Uncorrected energy = -0.23237 Ha/atom

# KCuPtS3 PBE relaxed
data_KCuPtS3
_chemical_formula_sum 'K4 Cu4 Pt4 S12'
_cell_length_a 3.7008
_cell_length_b 13.6752
_cell_length_c 9.8321
_cell_angle_alpha 90.00
_cell_angle_beta 90.00
_cell_angle_gamma 90.00
_symmetry_space_group_name_H-M 'C m c m'
_symmetry_Int_Tables_number 63
_symmetry_space_group_name_Hall '-C 2c 2'
loop_
_atom_site_label
_atom_site_type_symbol
_atom_site_fract_x
_atom_site_fract_y
_atom_site_fract_z
_atom_site_occupancy
K1 K 0.0000 0.2470 0.2500 1
Cu1 Cu 0.0000 0.0431 0.7500 1
Pt1 Pt 0.0000 0.5000 0.0000 1
S1 S 0.0000 0.1123 0.5381 1
S2 S 0.0000 0.4445 0.7500 1
# Crystal system = orthorhombic
# Uncorrected energy = -0.15978 Ha/atom

# ReCl4O PBE relaxed
data_ReCl4O
_chemical_formula_sum 'Re8 Cl32 O8'
_cell_length_a 12.7989
_cell_length_b 5.8404
_cell_length_c 18.7486
_cell_angle_alpha 90.00
_cell_angle_beta 115.64
_cell_angle_gamma 90.00
_symmetry_space_group_name_H-M 'P 1 21/c 1'
_symmetry_Int_Tables_number 14
_symmetry_space_group_name_Hall '-P 2ybc'
loop_
_atom_site_label
_atom_site_type_symbol
_atom_site_fract_x
_atom_site_fract_y
_atom_site_fract_z
_atom_site_occupancy
Re1 Re 0.0973 0.0088 0.1681 1
Re2 Re 0.4034 0.1078 0.5803 1
Cl1 Cl 0.0327 0.2172 0.5718 1
Cl2 Cl 0.0858 0.1367 0.8916 1
Cl3 Cl 0.1047 0.6401 0.7830 1
Cl4 Cl 0.2196 0.2159 0.7463 1
Cl5 Cl 0.2828 0.6689 0.0022 1
Cl6 Cl 0.4043 0.2494 0.4665 1
Cl7 Cl 0.4150 0.7419 0.3561 1
Cl8 Cl 0.4623 0.6589 0.1786 1
O1 O 0.1798 0.6693 0.6429 1
O2 O 0.3170 0.2107 0.1005 1
# Crystal system = monoclinic
# Uncorrected energy = -0.18123 Ha/atom